Entry from the Alexandria database: a relaxed Ca2Bi crystal (GGA-PBE).

POSCAR file:
```
Ca2Bi
1.0
4.1501 0.0028 -0.0029
0.0028 4.1501 -0.0029
-2.0800 -2.0800 6.0755
Bi Ca
1 2
direct
0.5000 0.5000 0.0000
0.8603 0.8603 0.7202
0.1397 0.1397 0.2798
```

Summary:
electronic total energy = -9.39 eV/cell
formation energy from the elements = -145 kJ/mol of formula units
N(E_F) = 1.060 states/eV per atom